Record 1
Entry from Alexandria via LeMat-Bulk: a relaxed Rb2ZnGa3F12 crystal (PBE).

extended XYZ file:
```
18
Lattice="-2.979 6.073 2.997 -7.358 0.561 0.532 -3.210 -0.425 6.652" Properties=species:S:1:pos:R:3 pbc="T T T"
F -6.094 5.680 5.046
F -7.310 4.513 2.895
F -7.451 0.529 5.136
F -8.779 2.300 3.535
F -4.767 3.908 6.647
Ga -1.489 3.036 1.499
Rb -5.028 2.304 3.779
F -10.768 2.162 7.647
F -8.188 5.410 9.100
F -5.358 0.799 1.082
F -6.236 1.696 7.287
Ga -1.605 -0.212 3.326
F -10.632 5.990 5.493
Rb -8.518 3.904 6.403
Ga -3.679 0.280 0.266
Zn 0.000 0.000 0.000
F -2.914 0.218 4.688
F -2.778 4.047 2.535
```

Results
The calculation puts the uncorrected formation energy at -46.14 eV per formula unit. As for the space group: R-3m, No. 166. The density of states at the Fermi level is 2.2 states/eV/f.u. The value obtained for the magnetization is 0.00 μB/f.u.

Record 2
Entry from Alexandria via LeMat-Bulk: a relaxed GaReF2 crystal (PBE).

extended XYZ file:
```
4
Lattice="1.546 0.000 8.224 -0.773 1.339 8.224 -0.773 -1.339 8.224" Properties=species:S:1:pos:R:3 pbc="T T T"
Ga 0.000 0.000 0.000
F 0.000 0.000 2.082
F 0.000 0.000 22.590
Re 0.000 0.000 12.336
```

Results
The calculation puts the uncorrected formation energy at -2.32 eV per formula unit. As for the space group: R-3m, No. 166. The density of states at the Fermi level is 1.8 states/eV/f.u. The value obtained for the magnetization is 0.00 μB/f.u.

Record 3
Entry from Alexandria via LeMat-Bulk: a relaxed Ga2ReF crystal (PBE).

extended XYZ file:
```
8
Lattice="-1.102 6.169 -0.283 -5.325 -1.095 -3.130 -4.770 2.383 0.997" Properties=species:S:1:pos:R:3 pbc="T T T"
F -6.654 1.913 -1.920
F -3.213 2.537 -1.706
Ga -8.968 6.275 -2.101
Re -4.543 5.545 -0.496
Ga -4.707 0.953 -1.755
Ga -2.499 4.044 -0.306
Re 0.000 0.000 0.000
Ga -6.221 3.642 -0.669
```

Results
The calculation puts the uncorrected formation energy at -0.21 eV per formula unit. As for the space group: I-42d, No. 122. The density of states at the Fermi level is 2.8 states/eV/f.u. The value obtained for the magnetization is 1.27 μB/f.u.